Entry 1:
A crystal of Si2TcSe relaxed with PBEsol, computed with meta-GGA SCAN.

Structure (CIF):
```
data_Si2TcSe
_chemical_formula_sum 'Si4 Tc2 Se2'
_space_group_name_H-M_alt 'C m m 2'
_space_group_IT_number 35
_space_group_name_Hall 'C 2 -2'
_cell_length_a 2.953
_cell_length_b 4.789
_cell_length_c 8.945
_cell_angle_alpha 90.00
_cell_angle_beta 90.00
_cell_angle_gamma 90.00
loop_
_atom_site_label
_atom_site_fract_x
_atom_site_fract_y
_atom_site_fract_z
Si1 0.000 0.000 0.000
Si2 0.000 0.500 0.231
Tc1 0.000 0.000 0.447
Se1 0.000 0.500 0.678
```

Summary:
- ΔE_f (raw): 0.499 eV per atom
- Crystal system: orthorhombic

Entry 2:
A crystal of SrLi2Al relaxed with PBEsol, computed with meta-GGA SCAN.

Structure (CIF):
```
data_SrLi2Al
_chemical_formula_sum 'Sr1 Li2 Al1'
_space_group_name_H-M_alt 'P 4/m m m'
_space_group_IT_number 123
_space_group_name_Hall '-P 4 2'
_cell_length_a 3.623
_cell_length_b 3.623
_cell_length_c 7.379
_cell_angle_alpha 90.00
_cell_angle_beta 90.00
_cell_angle_gamma 90.00
loop_
_atom_site_label
_atom_site_fract_x
_atom_site_fract_y
_atom_site_fract_z
Sr1 0.000 0.000 0.000
Li1 0.500 0.500 0.320
Al1 0.000 0.000 0.500
```

Summary:
- Energy relative to the elements: 0.0799 eV/atom
- Crystal system: tetragonal

Entry 3:
A crystal of BeMo2Rh2 relaxed with PBEsol, computed with meta-GGA SCAN.

Structure (CIF):
```
data_BeMo2Rh2
_chemical_formula_sum 'Be2 Mo4 Rh4'
_space_group_name_H-M_alt 'I 4/m m m'
_space_group_IT_number 139
_space_group_name_Hall '-I 4 2'
_cell_length_a 3.589
_cell_length_b 3.589
_cell_length_c 12.007
_cell_angle_alpha 90.00
_cell_angle_beta 90.00
_cell_angle_gamma 90.00
loop_
_atom_site_label
_atom_site_fract_x
_atom_site_fract_y
_atom_site_fract_z
Be1 0.000 0.000 0.000
Mo1 0.000 0.000 0.404
Rh1 0.000 0.500 0.250
```

Summary:
- Energy relative to the elements: 0.6084 eV/atom
- Crystal system: tetragonal

Looking at calculated volume for the records above, in order, we have 15.81; 24.22; 15.47 A^3/atom.